# BeHgSe | Alexandria via LeMat-Bulk | PBE | optimized geometry
data_BeHgSe
_chemical_formula_sum 'Be2 Hg2 Se2'
_cell_length_a 3.341
_cell_length_b 3.341
_cell_length_c 11.686
_cell_angle_alpha 90.00
_cell_angle_beta 90.00
_cell_angle_gamma 90.00
_symmetry_space_group_name_H-M 'I 4 m m'
_symmetry_Int_Tables_number 107
_symmetry_space_group_name_Hall 'I 4 -2'
loop_
_atom_site_label
_atom_site_fract_x
_atom_site_fract_y
_atom_site_fract_z
Be1 0.000 0.000 0.000
Hg1 0.000 0.000 0.207
Se1 0.000 0.000 0.456
# energy	-2.591	eV per atom
# ΔE to the lowest computed polymorph	322	meV per atom
# magnetization	0.00	μB per atom
# formation energy without anion corrections	-0.09	eV/atom
# mass density	7.346	g/cm3